Here is crystalline Ba4UCr2S9 at its relaxed geometry from the Alexandria database. Energies are from GGA-PBEsol.

Unit cell a=9.345 b=11.866 c=11.866 alpha=120.00 beta=90.00 gamma=90.00
Site moments in Bohr magnetons follow the coordinates.
Positions (direct):
1 Ba 0.250 0.045 0.340  0.00
2 Ba 0.000 0.000 0.682  0.01
3 Ba 0.000 0.318 0.318  0.01
4 Ba 0.750 0.704 0.660  0.00
5 Ba 0.250 0.296 0.955  0.00
6 Ba 0.750 0.340 0.045  0.00
7 Ba 0.500 0.625 0.000  0.00
8 Ba 0.750 0.955 0.296  0.00
9 Ba 0.000 0.682 0.000  0.01
10 Ba 0.250 0.660 0.704  0.00
11 Ba 0.500 0.375 0.375  0.00
12 Ba 0.500 0.000 0.625  0.00
13 U 0.255 0.667 0.333  1.11
14 U 0.745 0.333 0.667  1.11
15 U 0.500 0.000 0.000  1.44
16 Cr 0.599 0.667 0.333  2.44
17 Cr 0.401 0.333 0.667  2.44
18 Cr 0.841 0.000 0.000  2.49
19 Cr 0.918 0.667 0.333  2.42
20 Cr 0.082 0.333 0.667  2.42
21 Cr 0.159 0.000 0.000  2.49
22 S 0.448 0.493 0.181  -0.03
23 S 0.066 0.681 0.502  -0.03
24 S 0.240 0.353 0.519  -0.02
25 S 0.552 0.312 0.819  -0.03
26 S 0.000 0.154 0.000  -0.02
27 S 0.934 0.319 0.821  -0.03
28 S 0.448 0.688 0.507  -0.03
29 S 0.000 0.846 0.846  -0.02
30 S 0.066 0.821 0.319  -0.03
31 S 0.934 0.179 0.498  -0.03
32 S 0.448 0.819 0.312  -0.03
33 S 0.760 0.519 0.353  -0.02
34 S 0.552 0.507 0.688  -0.03
35 S 0.760 0.834 0.481  -0.02
36 S 0.309 0.172 0.156  -0.03
37 S 0.934 0.502 0.681  -0.03
38 S 0.000 0.000 0.154  -0.02
39 S 0.309 0.984 0.828  -0.03
40 S 0.066 0.498 0.179  -0.03
41 S 0.760 0.647 0.166  -0.02
42 S 0.691 0.828 0.984  -0.03
43 S 0.691 0.156 0.172  -0.03
44 S 0.309 0.844 0.016  -0.03
45 S 0.240 0.481 0.834  -0.02
46 S 0.240 0.166 0.647  -0.02
47 S 0.691 0.016 0.844  -0.03
48 S 0.552 0.181 0.493  -0.03

energy	-6.626	eV/atom
DOS at the Fermi energy	26.78	states/eV per cell